Computed, not measured: crystalline ZnBMoO4 at its relaxed geometry at the PBE+U level of DFT.

a = 5.1315 Å, b = 5.1315 Å, c = 5.7993 Å
α = 90.00°, β = 90.00°, γ = 113.73°
Last column: magnetic moment on the atom in μB.
Sites, in units of the cell vectors:
Zn (0.1530, 0.8470, 0.7500)  0.01
Zn (0.8470, 0.1530, 0.2500)  0.01
O (0.8260, 0.7422, 0.2500)  0.01
O (0.7472, 0.2528, 0.9541)  0.02
O (0.7422, 0.8260, 0.7500)  0.01
O (0.1740, 0.2578, 0.7500)  0.01
O (0.2528, 0.7472, 0.0459)  0.02
O (0.7472, 0.2528, 0.5459)  0.02
O (0.2528, 0.7472, 0.4541)  0.02
O (0.2578, 0.1740, 0.2500)  0.01
B (0.1589, 0.8411, 0.2500)  0.01
B (0.8411, 0.1589, 0.7500)  0.01
Mo (0.5000, 0.5000, 0.0000)  2.06
Mo (0.5000, 0.5000, 0.5000)  2.06

Properties
energy: -94.16 eV per cell
magnetic moment: 4.5 μB per cell
calculated density: 5.6 g/cm3
crystal system: orthorhombic